(1)
! Nb3HgTe (PBE, relaxed); values from VASP
! M_tot ... 0.0 μB/f.u.
! DOS(E_F) ... 8.3 states/eV/f.u.
! SG ... No. 221
! Raw formation energy ... 1.339 eV/atom
! Excess energy over the best structure of this formula in the dataset ... 0 meV per atom
! Calculated density ... 7.89 g/cm³
&SYSTEM
  ibrav = 0, nat = 5, ntyp = 3
/
ATOMIC_SPECIES
Nb 92.91 Nb.upf
Te 127.60 Te.upf
Hg 200.59 Hg.upf
CELL_PARAMETERS angstrom
5.036 0.000 0.000
0.000 5.036 0.000
0.000 0.000 5.036
ATOMIC_POSITIONS crystal
Nb 0.000 0.500 0.000
Nb 0.000 0.000 0.500
Nb 0.500 0.000 0.000
Te 0.000 0.000 0.000
Hg 0.500 0.500 0.500

(2)
! U6Si11O (PBE, relaxed); values from VASP
! M_tot ... 12.2 μB/f.u.
! DOS(E_F) ... 33.5 states/eV/f.u.
! SG ... No. 189
! Raw formation energy ... -0.346 eV/atom
! Calculated density ... 9.14 g/cm³
&SYSTEM
  ibrav = 0, nat = 18, ntyp = 3
/
ATOMIC_SPECIES
U 238.03 U.upf
Si 28.09 Si.upf
O 16.00 O.upf
CELL_PARAMETERS angstrom
-2.701 0.042 -6.437
-3.979 -1.808 5.443
-2.041 7.209 0.903
ATOMIC_POSITIONS crystal
U 0.675 0.000 0.247
U 0.000 0.675 0.247
U 0.675 0.000 0.753
U 0.000 0.675 0.753
U 0.325 0.325 0.247
U 0.325 0.325 0.753
Si 0.333 0.667 0.500
Si 0.667 0.333 0.500
Si 0.000 0.000 0.500
Si 0.332 0.000 0.000
Si 0.000 0.332 0.000
Si 0.668 0.668 0.000
Si 0.333 0.667 0.000
Si 0.667 0.333 0.000
Si 0.337 0.000 0.500
Si 0.000 0.337 0.500
Si 0.663 0.663 0.500
O 0.000 0.000 0.000

(3)
! Zr2OsBr (PBE, relaxed); values from VASP
! M_tot ... 0.0 μB/f.u.
! DOS(E_F) ... 2.7 states/eV/f.u.
! SG ... No. 71
! Raw formation energy ... -0.005 eV/atom
! Excess energy over the best structure of this formula in the dataset ... 487 meV per atom
! Calculated density ... 9.41 g/cm³
&SYSTEM
  ibrav = 0, nat = 4, ntyp = 3
/
ATOMIC_SPECIES
Os 190.23 Os.upf
Br 79.90 Br.upf
Zr 91.22 Zr.upf
CELL_PARAMETERS angstrom
4.977 -0.008 -0.003
0.484 4.953 0.003
-2.161 -3.101 3.238
ATOMIC_POSITIONS crystal
Os 0.250 0.750 0.500
Br 0.750 0.250 0.500
Zr 0.010 0.010 0.000
Zr 0.490 0.490 0.000

(4)
! MnOs4W (PBE, relaxed); values from VASP
! M_tot ... 3.9 μB/f.u.
! DOS(E_F) ... 7.8 states/eV/f.u.
! SG ... No. 216
! Excess energy over the best structure of this formula in the dataset ... 404 meV per atom
! Calculated density ... 17.66 g/cm³
&SYSTEM
  ibrav = 0, nat = 6, ntyp = 3
/
ATOMIC_SPECIES
Mn 54.94 Mn.upf
Os 190.23 Os.upf
W 183.84 W.upf
CELL_PARAMETERS angstrom
0.000 3.609 3.609
3.609 0.000 3.609
3.609 3.609 0.000
ATOMIC_POSITIONS crystal
Mn 0.000 0.000 0.000
Os 0.625 0.625 0.124
Os 0.625 0.124 0.625
Os 0.625 0.625 0.625
Os 0.124 0.625 0.625
W 0.250 0.250 0.250

(5)
! PmLuScGa (PBE, relaxed); values from VASP
! M_tot ... 0.8 μB/f.u.
! DOS(E_F) ... 5.6 states/eV/f.u.
! SG ... No. 216
! E ... -4.79 eV/atom
! Calculated density ... 7.21 g/cm³
&SYSTEM
  ibrav = 0, nat = 4, ntyp = 4
/
ATOMIC_SPECIES
Sc 44.96 Sc.upf
Lu 174.97 Lu.upf
Ga 69.72 Ga.upf
Pm 145.00 Pm.upf
CELL_PARAMETERS angstrom
5.212 0.000 0.000
2.606 4.514 0.000
2.606 1.505 4.256
ATOMIC_POSITIONS crystal
Sc 0.750 0.750 0.750
Lu 0.500 0.500 0.500
Ga 0.250 0.250 0.250
Pm 0.000 0.000 0.000

(6)
! Tb5Pm2Nd3 (PBE, relaxed); values from VASP
! M_tot ... 0.0 μB/f.u.
! DOS(E_F) ... 15.4 states/eV/f.u.
! SG ... No. 72
! Excess energy over the best structure of this formula in the dataset ... 195 meV per atom
! Calculated density ... 7.01 g/cm³
&SYSTEM
  ibrav = 0, nat = 20, ntyp = 3
/
ATOMIC_SPECIES
Tb 158.93 Tb.upf
Pm 145.00 Pm.upf
Nd 144.24 Nd.upf
CELL_PARAMETERS angstrom
-5.580 0.932 -3.946
-9.828 -2.042 7.386
-7.745 7.179 6.618
ATOMIC_POSITIONS crystal
Tb 0.250 0.500 0.500
Tb 0.750 0.500 0.500
Tb 0.501 0.749 0.749
Tb 0.999 0.251 0.251
Tb 0.499 0.251 0.251
Tb 0.001 0.749 0.749
Tb 0.124 0.466 0.285
Tb 0.876 0.534 0.715
Tb 0.624 0.285 0.466
Tb 0.376 0.715 0.534
Pm 0.127 0.774 0.972
Pm 0.873 0.226 0.028
Pm 0.627 0.972 0.774
Pm 0.373 0.028 0.226
Nd 0.250 0.000 0.000
Nd 0.750 0.000 0.000
Nd 0.369 0.383 0.879
Nd 0.631 0.617 0.121
Nd 0.869 0.879 0.383
Nd 0.131 0.121 0.617

(7)
! Li2Y (PBE, relaxed); values from VASP
! M_tot ... 0.0 μB/f.u.
! DOS(E_F) ... 3.2 states/eV/f.u.
! SG ... No. 189
! Excess energy over the best structure of this formula in the dataset ... 151 meV per atom
! Calculated density ... 2.31 g/cm³
&SYSTEM
  ibrav = 0, nat = 9, ntyp = 2
/
ATOMIC_SPECIES
Li 6.94 Li.upf
Y 88.91 Y.upf
CELL_PARAMETERS angstrom
4.514 -7.818 0.000
4.514 7.818 0.000
0.000 0.000 3.135
ATOMIC_POSITIONS crystal
Li 0.317 0.000 0.000
Li 0.000 0.317 0.000
Li 0.683 0.683 0.000
Li 0.651 0.000 0.500
Li 0.000 0.651 0.500
Li 0.349 0.349 0.500
Y 0.333 0.667 0.000
Y 0.667 0.333 0.000
Y 0.000 0.000 0.500

(8)
! Sm2BeSbRh6 (PBE, relaxed); values from VASP
! M_tot ... 0.0 μB/f.u.
! DOS(E_F) ... 7.6 states/eV/f.u.
! SG ... No. 12
! Raw formation energy ... -0.371 eV/atom
! Calculated density ... 9.34 g/cm³
&SYSTEM
  ibrav = 0, nat = 10, ntyp = 4
/
ATOMIC_SPECIES
Sm 150.36 Sm.upf
Be 9.01 Be.upf
Sb 121.76 Sb.upf
Rh 102.91 Rh.upf
CELL_PARAMETERS angstrom
-1.358 2.336 -5.814
-0.834 -5.968 -2.202
-5.492 -1.614 -2.906
ATOMIC_POSITIONS crystal
Sm 0.750 0.250 0.500
Sm 0.250 0.750 0.500
Be 0.500 0.500 0.000
Sb 0.000 0.000 0.000
Rh 0.270 0.270 0.459
Rh 0.730 0.729 0.000
Rh 0.270 0.730 0.000
Rh 0.730 0.270 0.000
Rh 0.270 0.271 0.000
Rh 0.730 0.730 0.541

(9)
! ReIr6Pt (PBE, relaxed); values from VASP
! M_tot ... 0.0 μB/f.u.
! DOS(E_F) ... 2.6 states/eV/f.u.
! SG ... No. 123
! E ... -9.04 eV/atom
! Calculated density ... 21.70 g/cm³
&SYSTEM
  ibrav = 0, nat = 8, ntyp = 3
/
ATOMIC_SPECIES
Re 186.21 Re.upf
Ir 192.22 Ir.upf
Pt 195.08 Pt.upf
CELL_PARAMETERS angstrom
-3.087 -1.443 -1.864
0.212 -3.229 2.148
-4.705 3.219 5.302
ATOMIC_POSITIONS crystal
Re 0.000 0.000 0.500
Ir 0.500 0.500 0.000
Ir 0.500 0.500 0.500
Ir 0.500 0.000 0.258
Ir 0.500 0.000 0.742
Ir 0.000 0.500 0.258
Ir 0.000 0.500 0.742
Pt 0.000 0.000 0.000

(10)
! ScTa2W (PBE, relaxed); values from VASP
! M_tot ... 0.0 μB/f.u.
! DOS(E_F) ... 5.6 states/eV/f.u.
! SG ... No. 119
! E ... -10.41 eV/atom
! Calculated density ... 13.23 g/cm³
&SYSTEM
  ibrav = 0, nat = 4, ntyp = 3
/
ATOMIC_SPECIES
Sc 44.96 Sc.upf
Ta 180.95 Ta.upf
W 183.84 W.upf
CELL_PARAMETERS angstrom
5.426 0.037 0.000
2.441 4.846 0.000
-3.934 -2.441 2.830
ATOMIC_POSITIONS crystal
Sc 0.750 0.250 0.500
Ta 0.000 0.000 0.000
Ta 0.250 0.750 0.500
W 0.500 0.500 0.000

(11)
! Ba3Tl2In4 (PBE, relaxed); values from VASP
! M_tot ... 0.0 μB/f.u.
! DOS(E_F) ... 4.8 states/eV/f.u.
! SG ... No. 12
! E ... -2.78 eV/atom
! Calculated density ... 6.79 g/cm³
&SYSTEM
  ibrav = 0, nat = 9, ntyp = 3
/
ATOMIC_SPECIES
Ba 137.33 Ba.upf
Tl 204.38 Tl.upf
In 114.82 In.upf
CELL_PARAMETERS angstrom
-3.028 -3.420 2.648
0.540 -6.405 -2.392
6.431 -5.389 5.656
ATOMIC_POSITIONS crystal
Ba 0.320 0.706 0.655
Ba 0.000 0.000 0.000
Ba 0.680 0.294 0.345
Tl 0.411 0.921 0.258
Tl 0.589 0.079 0.742
In 0.254 0.414 0.078
In 0.746 0.586 0.922
In 0.011 0.332 0.645
In 0.989 0.668 0.355

(12)
! Ca2Mg5Cd12 (PBE, relaxed); values from VASP
! M_tot ... 0.0 μB/f.u.
! DOS(E_F) ... 8.3 states/eV/f.u.
! SG ... No. 166
! E ... -1.37 eV/atom
! Calculated density ... 5.77 g/cm³
&SYSTEM
  ibrav = 0, nat = 19, ntyp = 3
/
ATOMIC_SPECIES
Ca 40.08 Ca.upf
Mg 24.30 Mg.upf
Cd 112.41 Cd.upf
CELL_PARAMETERS angstrom
-7.603 0.014 1.271
-1.769 -6.196 -4.231
-0.104 -5.166 5.720
ATOMIC_POSITIONS crystal
Ca 0.660 0.660 0.660
Ca 0.340 0.340 0.340
Mg 0.000 0.000 0.500
Mg 0.000 0.500 0.000
Mg 0.500 0.000 0.000
Mg 0.897 0.897 0.897
Mg 0.103 0.103 0.103
Cd 0.295 0.705 0.000
Cd 0.705 0.000 0.295
Cd 0.000 0.295 0.705
Cd 0.705 0.295 0.000
Cd 0.295 0.000 0.705
Cd 0.000 0.705 0.295
Cd 0.356 0.356 0.848
Cd 0.356 0.848 0.356
Cd 0.848 0.356 0.356
Cd 0.644 0.152 0.644
Cd 0.644 0.644 0.152
Cd 0.152 0.644 0.644

(13)
! PHS2Cl (PBE, relaxed); values from VASP
! M_tot ... 2.4 μB/f.u.
! DOS(E_F) ... 5.2 states/eV/f.u.
! SG ... No. 123
! Excess energy over the best structure of this formula in the dataset ... 978 meV per atom
! Calculated density ... 2.01 g/cm³
&SYSTEM
  ibrav = 0, nat = 5, ntyp = 4
/
ATOMIC_SPECIES
P 30.97 P.upf
S 32.06 S.upf
H 1.01 H.upf
Cl 35.45 Cl.upf
CELL_PARAMETERS angstrom
4.747 0.000 0.000
0.000 4.747 0.000
0.000 0.000 4.824
ATOMIC_POSITIONS crystal
P 0.000 0.000 0.500
S 0.000 0.500 0.000
S 0.500 0.000 0.000
H 0.500 0.500 0.500
Cl 0.000 0.000 0.000

(14)
! In6Ga2Hg (PBE, relaxed); values from VASP
! M_tot ... 0.0 μB/f.u.
! DOS(E_F) ... 3.1 states/eV/f.u.
! SG ... No. 12
! Excess energy over the best structure of this formula in the dataset ... 0 meV per atom
! Calculated density ... 7.36 g/cm³
&SYSTEM
  ibrav = 0, nat = 9, ntyp = 3
/
ATOMIC_SPECIES
In 114.82 In.upf
Ga 69.72 Ga.upf
Hg 200.59 Hg.upf
CELL_PARAMETERS angstrom
-1.993 -1.700 -1.799
3.963 -5.359 -2.133
-1.982 -8.295 7.227
ATOMIC_POSITIONS crystal
In 0.760 0.362 0.119
In 0.240 0.638 0.881
In 0.373 0.713 0.541
In 0.034 0.677 0.256
In 0.966 0.323 0.744
In 0.627 0.287 0.459
Ga 0.326 0.043 0.306
Ga 0.674 0.957 0.694
Hg 0.000 0.000 0.000

(15)
! SrLu2In (PBE, relaxed); values from VASP
! M_tot ... 0.0 μB/f.u.
! DOS(E_F) ... 4.1 states/eV/f.u.
! SG ... No. 166
! Excess energy over the best structure of this formula in the dataset ... 222 meV per atom
! Calculated density ... 6.88 g/cm³
&SYSTEM
  ibrav = 0, nat = 4, ntyp = 3
/
ATOMIC_SPECIES
Sr 87.62 Sr.upf
Lu 174.97 Lu.upf
In 114.82 In.upf
CELL_PARAMETERS angstrom
-2.428 1.484 2.201
-2.434 -2.072 1.651
5.812 -1.625 10.449
ATOMIC_POSITIONS crystal
Sr 0.000 0.000 0.000
Lu 0.099 0.099 0.702
Lu 0.901 0.901 0.298
In 0.500 0.500 0.500

(16)
! LaTb2DyP4 (PBE, relaxed); values from VASP
! M_tot ... 0.0 μB/f.u.
! DOS(E_F) ... 1.2 states/eV/f.u.
! SG ... No. 139
! E ... -6.63 eV/atom
! Calculated density ... 6.39 g/cm³
&SYSTEM
  ibrav = 0, nat = 8, ntyp = 4
/
ATOMIC_SPECIES
La 138.91 La.upf
Tb 158.93 Tb.upf
Dy 162.50 Dy.upf
P 30.97 P.upf
CELL_PARAMETERS angstrom
5.775 0.315 0.000
-0.315 5.775 0.000
-2.730 -3.045 5.778
ATOMIC_POSITIONS crystal
La 0.937 0.937 0.000
Tb 0.187 0.687 0.500
Tb 0.687 0.187 0.500
Dy 0.437 0.437 0.000
P 0.937 0.437 0.000
P 0.437 0.937 0.000
P 0.193 0.193 0.511
P 0.682 0.682 0.489

(17)
! La2Sm2Bi5 (PBE, relaxed); values from VASP
! M_tot ... 0.0 μB/f.u.
! DOS(E_F) ... 7.7 states/eV/f.u.
! SG ... No. 64
! E ... -5.08 eV/atom
! Calculated density ... 8.89 g/cm³
&SYSTEM
  ibrav = 0, nat = 18, ntyp = 3
/
ATOMIC_SPECIES
La 138.91 La.upf
Sm 150.36 Sm.upf
Bi 208.98 Bi.upf
CELL_PARAMETERS angstrom
-5.664 -4.207 4.938
-6.137 0.042 -7.004
6.342 -6.620 1.635
ATOMIC_POSITIONS crystal
La 0.000 0.808 0.192
La 0.500 0.308 0.692
La 0.000 0.192 0.808
La 0.500 0.692 0.308
Sm 0.341 0.156 0.156
Sm 0.659 0.844 0.844
Sm 0.841 0.344 0.344
Sm 0.159 0.656 0.656
Bi 0.000 0.000 0.000
Bi 0.500 0.500 0.500
Bi 0.146 0.217 0.490
Bi 0.854 0.510 0.783
Bi 0.646 0.010 0.283
Bi 0.354 0.717 0.990
Bi 0.854 0.783 0.510
Bi 0.146 0.490 0.217
Bi 0.354 0.990 0.717
Bi 0.646 0.283 0.010

(18)
! Nd4Ga2N (PBE, relaxed); values from VASP
! M_tot ... 0.0 μB/f.u.
! DOS(E_F) ... 7.1 states/eV/f.u.
! SG ... No. 55
! Raw formation energy ... -0.564 eV/atom
! Excess energy over the best structure of this formula in the dataset ... 153 meV per atom
! Calculated density ... 6.54 g/cm³
&SYSTEM
  ibrav = 0, nat = 14, ntyp = 3
/
ATOMIC_SPECIES
Nd 144.24 Nd.upf
Ga 69.72 Ga.upf
N 14.01 N.upf
CELL_PARAMETERS angstrom
-3.060 1.541 1.313
-2.831 -7.146 1.789
5.372 0.777 11.607
ATOMIC_POSITIONS crystal
Nd 0.000 0.615 0.813
Nd 0.000 0.385 0.187
Nd 0.000 0.115 0.687
Nd 0.000 0.885 0.313
Nd 0.500 0.792 0.548
Nd 0.500 0.208 0.452
Nd 0.500 0.708 0.048
Nd 0.500 0.292 0.952
Ga 0.500 0.924 0.841
Ga 0.500 0.076 0.159
Ga 0.500 0.424 0.659
Ga 0.500 0.576 0.341
N 0.000 0.000 0.500
N 0.000 0.500 0.000

(19)
! YScZn4 (PBE, relaxed); values from VASP
! M_tot ... 0.0 μB/f.u.
! DOS(E_F) ... 3.7 states/eV/f.u.
! SG ... No. 216
! Excess energy over the best structure of this formula in the dataset ... 25 meV per atom
! Calculated density ... 6.01 g/cm³
&SYSTEM
  ibrav = 0, nat = 6, ntyp = 3
/
ATOMIC_SPECIES
Sc 44.96 Sc.upf
Y 88.91 Y.upf
Zn 65.41 Zn.upf
CELL_PARAMETERS angstrom
5.367 0.000 0.000
2.683 4.648 0.000
2.683 1.549 4.382
ATOMIC_POSITIONS crystal
Sc 0.250 0.250 0.250
Y 0.000 0.000 0.000
Zn 0.126 0.625 0.625
Zn 0.625 0.625 0.625
Zn 0.625 0.126 0.625
Zn 0.625 0.625 0.126

(20)
! La3Tb5Bi8 (PBE, relaxed); values from VASP
! M_tot ... 0.0 μB/f.u.
! DOS(E_F) ... 2.6 states/eV/f.u.
! SG ... No. 166
! E ... -5.25 eV/atom
! Calculated density ... 8.84 g/cm³
&SYSTEM
  ibrav = 0, nat = 16, ntyp = 3
/
ATOMIC_SPECIES
La 138.91 La.upf
Tb 158.93 Tb.upf
Bi 208.98 Bi.upf
CELL_PARAMETERS angstrom
-7.150 2.117 -5.311
-8.498 -0.441 3.375
-4.722 7.682 1.529
ATOMIC_POSITIONS crystal
La 0.500 0.000 0.500
La 0.000 0.000 0.500
La 0.000 0.500 0.500
Tb 0.500 0.000 0.000
Tb 0.500 0.500 0.000
Tb 0.000 0.000 0.000
Tb 0.000 0.500 0.000
Tb 0.500 0.500 0.500
Bi 0.250 0.250 0.758
Bi 0.250 0.742 0.758
Bi 0.742 0.250 0.758
Bi 0.746 0.746 0.762
Bi 0.750 0.750 0.242
Bi 0.750 0.258 0.242
Bi 0.258 0.750 0.242
Bi 0.254 0.254 0.238

(21)
! PmPrHgOs (PBE, relaxed); values from VASP
! M_tot ... 0.0 μB/f.u.
! DOS(E_F) ... 3.1 states/eV/f.u.
! SG ... No. 216
! E ... -5.39 eV/atom
! Calculated density ... 11.41 g/cm³
&SYSTEM
  ibrav = 0, nat = 4, ntyp = 4
/
ATOMIC_SPECIES
Pr 140.91 Pr.upf
Os 190.23 Os.upf
Hg 200.59 Hg.upf
Pm 145.00 Pm.upf
CELL_PARAMETERS angstrom
-1.803 0.878 4.779
3.015 -0.913 4.116
1.855 3.960 2.783
ATOMIC_POSITIONS crystal
Pr 0.000 0.000 0.000
Os 0.750 0.750 0.750
Hg 0.250 0.250 0.250
Pm 0.500 0.500 0.500

(22)
! TiInSn2Cl8 (PBE, relaxed); values from VASP
! M_tot ... 1.0 μB/f.u.
! DOS(E_F) ... 3.5 states/eV/f.u.
! SG ... No. 2
! Raw formation energy ... -1.129 eV/atom
! Calculated density ... 3.02 g/cm³
&SYSTEM
  ibrav = 0, nat = 12, ntyp = 4
/
ATOMIC_SPECIES
Ti 47.87 Ti.upf
In 114.82 In.upf
Sn 118.71 Sn.upf
Cl 35.45 Cl.upf
CELL_PARAMETERS angstrom
-3.824 1.515 -5.197
-4.910 -3.708 2.234
-3.946 6.270 4.609
ATOMIC_POSITIONS crystal
Ti 0.000 0.000 0.000
In 0.000 0.000 0.500
Sn 0.493 0.460 0.760
Sn 0.507 0.540 0.240
Cl 0.156 0.772 0.219
Cl 0.693 0.791 0.020
Cl 0.866 0.216 0.180
Cl 0.844 0.228 0.781
Cl 0.307 0.209 0.980
Cl 0.134 0.784 0.820
Cl 0.634 0.726 0.462
Cl 0.366 0.274 0.538

(23)
! SiHgAu2 (PBE, relaxed); values from VASP
! M_tot ... 0.0 μB/f.u.
! DOS(E_F) ... 0.6 states/eV/f.u.
! SG ... No. 99
! Raw formation energy ... 0.179 eV/atom
! Excess energy over the best structure of this formula in the dataset ... 115 meV per atom
! Calculated density ... 13.45 g/cm³
&SYSTEM
  ibrav = 0, nat = 4, ntyp = 3
/
ATOMIC_SPECIES
Au 196.97 Au.upf
Hg 200.59 Hg.upf
Si 28.09 Si.upf
CELL_PARAMETERS angstrom
-0.965 2.741 2.065
1.544 -1.569 2.804
5.199 2.804 -1.293
ATOMIC_POSITIONS crystal
Au 0.000 0.000 0.965
Au 0.500 0.500 0.237
Hg 0.000 0.000 0.488
Si 0.500 0.500 0.811